a:
# Li3TlP

A geometry-optimized Li3TlP structure (GGA-PBE, the Alexandria database).

Properties
V (Å³ per atom): 21.1
N(E_F) (states/eV per atom): 0.461

```
data_Li3TlP
_cell_length_a 4.7230
_cell_length_b 4.7230
_cell_length_c 4.7230
_cell_angle_alpha 90.00
_cell_angle_beta 90.00
_cell_angle_gamma 90.00
_symmetry_space_group_name_H-M 'P 1'
_symmetry_Int_Tables_number 1
_symmetry_space_group_name_Hall 'P 1'
loop_
_atom_site_label
_atom_site_type_symbol
_atom_site_fract_x
_atom_site_fract_y
_atom_site_fract_z
_atom_site_occupancy
Li1 Li 0.0000 0.0000 0.5000 1
Li2 Li 0.0000 0.5000 0.0000 1
Li3 Li 0.5000 0.0000 0.0000 1
Tl1 Tl 0.5000 0.5000 0.5000 1
P1 P 0.0000 0.0000 0.0000 1
```


b:
# Li3TlP

A geometry-optimized Li3TlP structure (GGA-PBE, the Alexandria database).

Properties
V (Å³ per atom): 23.8
N(E_F) (states/eV per atom): 0.791

```
data_Li3TlP
_cell_length_a 4.9163
_cell_length_b 4.9163
_cell_length_c 4.9163
_cell_angle_alpha 90.00
_cell_angle_beta 90.00
_cell_angle_gamma 90.00
_symmetry_space_group_name_H-M 'P 1'
_symmetry_Int_Tables_number 1
_symmetry_space_group_name_Hall 'P 1'
loop_
_atom_site_label
_atom_site_type_symbol
_atom_site_fract_x
_atom_site_fract_y
_atom_site_fract_z
_atom_site_occupancy
Li1 Li 0.0000 0.0000 0.5000 1
Li2 Li 0.0000 0.5000 0.0000 1
Li3 Li 0.5000 0.0000 0.0000 1
Tl1 Tl 0.0000 0.0000 0.0000 1
P1 P 0.5000 0.5000 0.5000 1
```


The structure with the least stability is b.


a:
# LiVP3

A geometry-optimized LiVP3 structure (GGA-PBE, the Alexandria database).

Properties
V (Å³ per atom): 15.9
N(E_F) (states/eV per atom): 1.181

```
data_LiVP3
_cell_length_a 4.2963
_cell_length_b 4.2963
_cell_length_c 4.2963
_cell_angle_alpha 90.00
_cell_angle_beta 90.00
_cell_angle_gamma 90.00
_symmetry_space_group_name_H-M 'P 1'
_symmetry_Int_Tables_number 1
_symmetry_space_group_name_Hall 'P 1'
loop_
_atom_site_label
_atom_site_type_symbol
_atom_site_fract_x
_atom_site_fract_y
_atom_site_fract_z
_atom_site_occupancy
Li1 Li 0.0000 0.0000 0.0000 1
V1 V 0.5000 0.5000 0.5000 1
P1 P 0.0000 0.0000 0.5000 1
P2 P 0.0000 0.5000 0.0000 1
P3 P 0.5000 0.0000 0.0000 1
```


b:
# LiVP3

A geometry-optimized LiVP3 structure (GGA-PBE, the Alexandria database).

Properties
V (Å³ per atom): 19.0
N(E_F) (states/eV per atom): 1.215

```
data_LiVP3
_cell_length_a 4.5603
_cell_length_b 4.5603
_cell_length_c 4.5603
_cell_angle_alpha 90.00
_cell_angle_beta 90.00
_cell_angle_gamma 90.00
_symmetry_space_group_name_H-M 'P 1'
_symmetry_Int_Tables_number 1
_symmetry_space_group_name_Hall 'P 1'
loop_
_atom_site_label
_atom_site_type_symbol
_atom_site_fract_x
_atom_site_fract_y
_atom_site_fract_z
_atom_site_occupancy
Li1 Li 0.0000 0.0000 0.0000 1
V1 V 0.5000 0.5000 0.5000 1
P1 P 0.0000 0.5000 0.5000 1
P2 P 0.5000 0.0000 0.5000 1
P3 P 0.5000 0.5000 0.0000 1
```


The structure with the least stability is a.


a:
# LiP3W

A geometry-optimized LiP3W structure (GGA-PBE, the Alexandria database).

Properties
V (Å³ per atom): 21.3
N(E_F) (states/eV per atom): 0.642

```
data_LiP3W
_cell_length_a 4.7400
_cell_length_b 4.7400
_cell_length_c 4.7400
_cell_angle_alpha 90.00
_cell_angle_beta 90.00
_cell_angle_gamma 90.00
_symmetry_space_group_name_H-M 'P 1'
_symmetry_Int_Tables_number 1
_symmetry_space_group_name_Hall 'P 1'
loop_
_atom_site_label
_atom_site_type_symbol
_atom_site_fract_x
_atom_site_fract_y
_atom_site_fract_z
_atom_site_occupancy
Li1 Li 0.0000 0.0000 0.0000 1
P1 P 0.0000 0.5000 0.5000 1
P2 P 0.5000 0.0000 0.5000 1
P3 P 0.5000 0.5000 0.0000 1
W1 W 0.5000 0.5000 0.5000 1
```


b:
# LiP3W

A geometry-optimized LiP3W structure (GGA-PBE, the Alexandria database).

Properties
V (Å³ per atom): 14.7
N(E_F) (states/eV per atom): 1.094

```
data_LiP3W
_cell_length_a 4.1893
_cell_length_b 4.1893
_cell_length_c 4.1893
_cell_angle_alpha 90.00
_cell_angle_beta 90.00
_cell_angle_gamma 90.00
_symmetry_space_group_name_H-M 'P 1'
_symmetry_Int_Tables_number 1
_symmetry_space_group_name_Hall 'P 1'
loop_
_atom_site_label
_atom_site_type_symbol
_atom_site_fract_x
_atom_site_fract_y
_atom_site_fract_z
_atom_site_occupancy
Li1 Li 0.0000 0.0000 0.0000 1
P1 P 0.0000 0.0000 0.5000 1
P2 P 0.0000 0.5000 0.0000 1
P3 P 0.5000 0.0000 0.0000 1
W1 W 0.5000 0.5000 0.5000 1
```


The structure with the least stability is b.